[1]
A plane-wave DFT calculation with PBE was carried out for a relaxed structure of KCe2Cu2Se6.

**Formation energy without anion corrections**: -1.04 eV/atom

a b c (Å): 7.534 7.564 8.040
angles (deg): 119.83 86.84 63.55
Element x y z (fractional)
K 0.500 0.000 0.500
Se 0.582 0.205 0.958
Se 0.186 0.834 0.578
Cu 0.761 0.261 0.187
Se 0.418 0.795 0.042
Se 0.946 0.441 0.179
Ce 0.829 0.341 0.825
Se 0.814 0.166 0.422
Cu 0.239 0.739 0.813
Se 0.054 0.559 0.821
Ce 0.171 0.659 0.175

[2]
A plane-wave DFT calculation with PBE was carried out for a relaxed structure of LaCe2Cu9.

**Energy relative to the elements**: -0.126 eV per atom

a b c (Å): 5.220 5.220 8.962
angles (deg): 73.07 73.07 60.00
Each line ends with the local moment (μB).
Element x y z (fractional)
Cu 0.578 0.087 0.757  0.00
Cu 0.422 0.422 0.243  0.00
Cu 0.331 0.331 0.006  0.00
Ce 0.149 0.149 0.552  0.48
La 0.000 0.000 0.000  0.01
Cu 0.087 0.578 0.757  0.00
Cu 0.913 0.422 0.243  0.00
Cu 0.500 0.500 0.500  0.00
Ce 0.851 0.851 0.448  0.48
Cu 0.578 0.578 0.757  0.00
Cu 0.669 0.669 0.994  0.00
Cu 0.422 0.913 0.243  0.00

[3]
A plane-wave DFT calculation with PBE was carried out for a relaxed structure of LaCe2Cu.

**Relative energy among the computed polymorphs**: 0.817 eV/f.u.
**Energy relative to the elements**: 0.241 eV per atom

a b c (Å): 4.453 4.453 7.057
angles (deg): 71.61 71.61 60.00
Each line ends with the local moment (μB).
Element x y z (fractional)
Ce 0.072 0.072 0.783  -0.03
Ce 0.272 0.272 0.185  0.75
Cu 0.679 0.679 0.962  0.00
La 0.477 0.477 0.570  0.01

[4]
A plane-wave DFT calculation with PBE was carried out for a relaxed structure of LaCe2Cu.

**Relative energy among the computed polymorphs**: 0.000 eV/f.u.
**Energy relative to the elements**: 0.036 eV per atom

a b c (Å): 3.612 3.612 8.143
angles (deg): 90.00 90.00 90.00
Each line ends with the local moment (μB).
Element x y z (fractional)
Ce 0.000 0.000 0.806  0.28
Ce 0.000 0.000 0.194  0.28
Cu 0.500 0.500 0.000  0.00
La 0.500 0.500 0.500  0.00

[5]
A plane-wave DFT calculation with PBE was carried out for a relaxed structure of La2CeCu.

**Relative energy among the computed polymorphs**: 1.052 eV/f.u.
**Energy relative to the elements**: 0.245 eV per atom

a b c (Å): 3.454 3.454 11.213
angles (deg): 81.14 81.14 60.00
Each line ends with the local moment (μB).
Element x y z (fractional)
Ce 0.000 0.000 0.000  -0.54
La 0.099 0.099 0.704  0.04
Cu 0.500 0.500 0.500  0.01
La 0.901 0.901 0.296  0.04

[6]
A plane-wave DFT calculation with PBE was carried out for a relaxed structure of LaCeCu10.

**Energy relative to the elements**: -0.129 eV per atom

a b c (Å): 4.126 5.158 8.873
angles (deg): 90.00 90.00 90.00
Each line ends with the local moment (μB).
Element x y z (fractional)
Cu 0.000 0.500 0.169  0.01
Ce 0.000 0.500 0.500  0.78
Cu 0.500 0.000 0.500  0.01
Cu 0.500 0.748 0.253  0.01
La 0.000 0.000 0.000  0.02
Cu 0.000 0.000 0.664  0.01
Cu 0.500 0.500 0.000  0.01
Cu 0.000 0.500 0.831  0.01
Cu 0.000 0.000 0.336  0.01
Cu 0.500 0.252 0.747  0.01
Cu 0.500 0.748 0.747  0.01
Cu 0.500 0.252 0.253  0.01

no.,ρ (g cm⁻³),energy (eV for the cell shown),calculated volume (Å³/atom)
1,4.595,-53.47,30.23
2,8.262,-55.17,16.60
3,7.102,-19.93,28.22
4,7.544,-20.75,26.56
5,7.012,-18.91,28.51
6,8.043,-53.37,15.73